[1]
Density functional theory data (PBE) for Li15Ca2Mg2 after structural relaxation.

The structure in extended XYZ format:
```
19
Lattice="5.058 2.920 4.869 -5.058 2.920 4.869 0.000 -5.840 4.869" Properties=species:S:1:pos:R:3 pbc="T T T"
Li -5.058 0.000 7.303
Li -1.443 -3.341 4.869
Li -2.529 1.460 2.434
Li -3.615 0.421 4.869
Li -2.550 -1.472 6.993
Li 1.443 -3.341 4.869
Li -2.172 2.920 4.869
Li 0.000 -2.944 7.614
Li -2.550 1.472 7.614
Li 2.529 1.460 2.434
Li 2.550 -1.472 6.993
Li 0.000 2.944 6.993
Li 3.615 0.421 4.869
Li 2.172 2.920 4.869
Li 2.550 1.472 7.614
Ca 0.000 0.000 5.055
Ca 0.000 0.000 9.552
Mg 0.000 0.000 1.525
Mg 0.000 0.000 13.081
```

Computed properties:
Size of the total moment   0.0000 μB per atom
Energy of formation from the pure elements   -0.0003 eV/atom
SG   R-3m, No. 166
Fermi-level density of states   9.752 states/eV per cell

[2]
Density functional theory data (PBE) for InSnI5 after structural relaxation.

The structure in extended XYZ format:
```
14
Lattice="8.411 0.000 0.000 0.298 8.410 0.000 4.145 4.002 10.401" Properties=species:S:1:pos:R:3 pbc="T T T"
In 0.000 0.000 0.000
In 4.124 8.601 5.199
Sn 6.213 4.329 2.513
Sn 8.367 6.243 7.715
I 3.945 2.827 4.306
I 5.820 8.231 7.366
I 4.302 6.918 3.008
I 6.785 4.034 9.511
I 4.569 4.146 0.117
I 8.122 4.602 5.323
I 8.099 1.708 2.166
I 9.925 8.628 6.188
I 10.880 4.233 8.211
I 8.654 5.800 0.993
```

Computed properties:
Raw formation energy   -458 meV/atom
Size of the total moment   0.0000 μB per atom
SG   P1, No. 1